[1]
CePd2 GGA-PBE optimized geometry; space-group type = I4/mmm, No. 139; magnetization = 0.21 μB per atom; energy of formation from the pure elements = -48 kJ/mol of atoms
1.0
5.1464 0.0076 0.0000
2.1082 4.6948 0.0000
-3.6273 -2.3512 2.7929
Pd Ce
2 1
Direct
0.7500 0.2500 0.5000
0.2500 0.7500 0.5000
0.0000 0.0000 0.0000



[2]
YSc2Tl3Te6 GGA-PBE optimized geometry; space-group type = C2/m, No. 12; magnetization = 0.00 μB per atom; formation energy (no corrections) = -0.9684 eV per atom
1.0
-3.9488 -0.9674 6.2973
3.0437 -5.9147 -3.4551
7.0927 3.2184 3.4529
Y Sc Tl Te
1 2 3 6
Direct
0.0000 0.0000 0.0000
0.6674 0.3326 0.0000
0.3326 0.6674 0.0000
0.1619 0.8381 0.5000
0.5000 0.5000 0.5000
0.8381 0.1619 0.5000
0.4147 0.0693 0.2076
0.7222 0.7222 0.2038
0.0693 0.4147 0.2076
0.2778 0.2778 0.7962
0.9307 0.5853 0.7924
0.5853 0.9307 0.7924



[3]
Tb3TaRu4 GGA-PBE optimized geometry; space-group type = P4/mmm, No. 123; magnetization = 0.00 μB per atom; energy of formation from the pure elements = -34 kJ/mol of atoms
1.0
-0.2848 3.1680 -0.9321
-2.7255 0.3028 1.8618
7.6986 3.8250 10.6477
Ru Ta Tb
4 1 3
Direct
0.0000 0.0000 0.1073
0.0000 0.0000 0.3710
0.0000 0.0000 0.8927
0.0000 0.0000 0.6290
0.5000 0.5000 0.0000
0.5000 0.5000 0.7517
0.5000 0.5000 0.2483
0.5000 0.5000 0.5000



[4]
HoCo6Ge12 GGA-PBE optimized geometry; space-group type = R-3m, No. 166; magnetization = 0.00 μB per atom; energy of formation from the pure elements = -8 kJ/mol of atoms
1.0
6.9958 -0.0882 -0.1243
-1.8196 6.7556 -0.1243
-1.8196 -2.3439 6.3372
Co Ge Ho
6 12 1
Direct
0.2951 0.7157 0.7157
0.7049 0.2843 0.2843
0.7157 0.7157 0.2951
0.2843 0.7049 0.2843
0.2843 0.2843 0.7049
0.7157 0.2951 0.7157
0.3979 0.3979 0.1420
0.8821 0.5000 0.1179
0.8821 0.1179 0.5000
0.1179 0.5000 0.8821
0.5000 0.8821 0.1179
0.8580 0.6021 0.6021
0.6021 0.6021 0.8580
0.1179 0.8821 0.5000
0.5000 0.1179 0.8821
0.3979 0.1420 0.3979
0.1420 0.3979 0.3979
0.6021 0.8580 0.6021
0.0000 0.0000 0.0000



[5]
TbZn2Sb GGA-PBE optimized geometry; space-group type = P4/mmm, No. 123; magnetization = 0.00 μB per atom; formation energy (no corrections) = -0.4244 eV per atom
1.0
-4.3974 -0.4387 1.0637
-0.4953 -2.8783 -3.2350
0.9858 -3.2456 2.7367
Zn Sb Tb
2 1 1
Direct
0.0000 0.5000 0.0000
0.0000 0.0000 0.5000
0.5000 0.5000 0.5000
0.5000 0.0000 0.0000



[6]
RbRu3I GGA-PBE optimized geometry; space-group type = Pm-3m, No. 221; magnetization = 1.30 μB per atom; formation energy (no corrections) = 2.9218 eV per atom
1.0
-4.7006 -1.7617 0.5640
1.2668 -4.1881 -2.5243
1.3480 -2.2075 4.3390
Rb Ru I
1 3 1
Direct
0.0000 0.0000 0.0000
0.0000 0.5000 0.0000
0.5000 0.0000 0.0000
0.0000 0.0000 0.5000
0.5000 0.5000 0.5000



[7]
AcNpBiO2 GGA-PBE optimized geometry; space-group type = I4mm, No. 107; magnetization = 0.72 μB per atom; formation energy (no corrections) = -2.2679 eV per atom
1.0
4.0704 0.0000 0.0000
0.0000 4.0704 0.0000
-2.0352 -2.0352 6.8573
O Bi Np Ac
2 1 1 1
Direct
0.2400 0.7400 0.4800
0.7400 0.2400 0.4800
0.5111 0.5111 0.0222
0.1628 0.1628 0.3256
0.8461 0.8461 0.6922



[8]
AgTeAsI GGA-PBE optimized geometry; space-group type = Cm, No. 8; magnetization = 0.00 μB per atom; formation energy (no corrections) = 0.0650 eV per atom
1.0
-1.4378 4.3195 -1.3634
-0.3195 -4.1889 -2.2216
-6.5005 -0.9662 5.3768
I As Te Ag
1 1 1 1
Direct
0.5158 0.5620 0.0778
0.1284 0.5604 0.6888
0.4076 0.1438 0.5514
0.2772 0.9346 0.2118



[9]
Ba3AlIr GGA-PBE optimized geometry; space-group type = Pm-3m, No. 221; magnetization = 0.07 μB per atom; energy of formation from the pure elements = 7 kJ/mol of atoms
1.0
6.0489 0.0000 0.0000
0.0000 6.0489 0.0000
0.0000 0.0000 6.0489
Ba Al Ir
3 1 1
Direct
0.0000 0.5000 0.0000
0.0000 0.0000 0.5000
0.5000 0.0000 0.0000
0.5000 0.5000 0.5000
0.0000 0.0000 0.0000



[10]
Dy5ZnCd4 GGA-PBE optimized geometry; space-group type = P4/mmm, No. 123; magnetization = 0.00 μB per atom; energy of formation from the pure elements = -31 kJ/mol of atoms
1.0
-2.3055 -2.5373 -1.3574
1.9621 -2.6584 1.6367
-10.7088 1.5316 15.3259
Dy Cd Zn
5 4 1
Direct
0.5000 0.5000 0.0908
0.5000 0.5000 0.5000
0.5000 0.5000 0.7039
0.5000 0.5000 0.9092
0.5000 0.5000 0.2961
0.0000 0.0000 0.8059
0.0000 0.0000 0.6018
0.0000 0.0000 0.3982
0.0000 0.0000 0.1941
0.0000 0.0000 0.0000



[11]
SrMg2Co GGA-PBE optimized geometry; space-group type = I4/mmm, No. 139; magnetization = 0.17 μB per atom; energy of formation from the pure elements = 35 kJ/mol of atoms
1.0
-5.0249 1.9404 1.3831
-2.8801 -3.8873 2.7426
5.1247 2.0470 0.6896
Co Sr Mg
1 1 2
Direct
0.7500 0.2500 0.5000
0.2500 0.7500 0.5000
0.0000 0.0000 0.0000
0.5000 0.5000 0.0000



[12]
GdDyCu GGA-PBE optimized geometry; space-group type = P3m1, No. 156; magnetization = 2.43 μB per atom; energy of formation from the pure elements = 5 kJ/mol of atoms
1.0
3.7811 0.0000 0.0000
0.0000 4.7896 0.0000
0.0000 -2.3948 4.1480
Dy Cu Gd
1 1 1
Direct
0.7424 0.6667 0.3333
0.9815 0.0000 0.0000
0.2761 0.3333 0.6667